Entry A
DFT (PBE-GGA) results for crystalline ZrFeMo3 at its relaxed geometry.

The structure in CIF format:
```
data_ZrFeMo3
_space_group_name_H-M_alt 'P m -3 m'
_space_group_IT_number 221
_space_group_name_Hall '-P 4 2 3'
_cell_length_a 4.720
_cell_length_b 4.720
_cell_length_c 4.720
_cell_angle_alpha 90.00
_cell_angle_beta 90.00
_cell_angle_gamma 90.00
loop_
_atom_site_label
_atom_site_type_symbol
_atom_site_fract_x
_atom_site_fract_y
_atom_site_fract_z
Zr1 Zr 0.000 0.000 0.000
Fe1 Fe 0.500 0.500 0.500
Mo1 Mo 0.000 0.000 0.500
```

Properties
* N(E_F): 11.377 states/eV/cell
* volume: 105 Å³/f.u.

=====

Entry B
DFT (PBE-GGA) results for crystalline ZrFeMo3 at its relaxed geometry.

The structure in CIF format:
```
data_ZrFeMo3
_space_group_name_H-M_alt 'P m -3 m'
_space_group_IT_number 221
_space_group_name_Hall '-P 4 2 3'
_cell_length_a 4.503
_cell_length_b 4.503
_cell_length_c 4.503
_cell_angle_alpha 90.00
_cell_angle_beta 90.00
_cell_angle_gamma 90.00
loop_
_atom_site_label
_atom_site_type_symbol
_atom_site_fract_x
_atom_site_fract_y
_atom_site_fract_z
Zr1 Zr 0.000 0.000 0.000
Fe1 Fe 0.500 0.500 0.500
Mo1 Mo 0.000 0.500 0.500
```

Properties
* N(E_F): 4.516 states/eV/cell
* volume: 91 Å³/f.u.

=====

The least stable of them is entry A.

=====

Entry A
DFT (PBE-GGA) results for crystalline Zr3FeMo at its relaxed geometry.

The structure in CIF format:
```
data_Zr3FeMo
_space_group_name_H-M_alt 'P m -3 m'
_space_group_IT_number 221
_space_group_name_Hall '-P 4 2 3'
_cell_length_a 4.747
_cell_length_b 4.747
_cell_length_c 4.747
_cell_angle_alpha 90.00
_cell_angle_beta 90.00
_cell_angle_gamma 90.00
loop_
_atom_site_label
_atom_site_type_symbol
_atom_site_fract_x
_atom_site_fract_y
_atom_site_fract_z
Zr1 Zr 0.000 0.000 0.500
Fe1 Fe 0.000 0.000 0.000
Mo1 Mo 0.500 0.500 0.500
```

Properties
* N(E_F): 5.208 states/eV/cell
* volume: 107 Å³/f.u.

=====

Entry B
DFT (PBE-GGA) results for crystalline Zr3FeMo at its relaxed geometry.

The structure in CIF format:
```
data_Zr3FeMo
_space_group_name_H-M_alt 'P m -3 m'
_space_group_IT_number 221
_space_group_name_Hall '-P 4 2 3'
_cell_length_a 4.968
_cell_length_b 4.968
_cell_length_c 4.968
_cell_angle_alpha 90.00
_cell_angle_beta 90.00
_cell_angle_gamma 90.00
loop_
_atom_site_label
_atom_site_type_symbol
_atom_site_fract_x
_atom_site_fract_y
_atom_site_fract_z
Zr1 Zr 0.000 0.000 0.500
Fe1 Fe 0.500 0.500 0.500
Mo1 Mo 0.000 0.000 0.000
```

Properties
* N(E_F): 10.097 states/eV/cell
* volume: 123 Å³/f.u.

=====

The least stable of them is entry B.

=====

Entry A
DFT (PBE-GGA) results for crystalline NaFeN at its relaxed geometry.

The structure in CIF format:
```
data_NaFeN
_space_group_name_H-M_alt 'R 3 m'
_space_group_IT_number 160
_space_group_name_Hall 'R 3 -2"'
_cell_length_a 3.0071
_cell_length_b 3.0071
_cell_length_c 14.8252
_cell_angle_alpha 90.00
_cell_angle_beta 90.00
_cell_angle_gamma 120.00
loop_
_atom_site_label
_atom_site_type_symbol
_atom_site_fract_x
_atom_site_fract_y
_atom_site_fract_z
Na1 Na 0.0000 0.0000 0.0000
Fe1 Fe 0.0000 0.0000 0.5043
N1 N 0.0000 0.0000 0.2020
```

Properties
* N(E_F): 0.436 states/eV/cell
* volume: 39 Å³/f.u.

=====

Entry B
DFT (PBE-GGA) results for crystalline NaFeN at its relaxed geometry.

The structure in CIF format:
```
data_NaFeN
_space_group_name_H-M_alt 'P n m a'
_space_group_IT_number 62
_cell_length_a 8.715
_cell_length_b 3.503
_cell_length_c 6.089
_cell_angle_alpha 90.00
_cell_angle_beta 90.00
_cell_angle_gamma 90.00
loop_
_space_group_symop_operation_xyz
'x,y,z'
'-x,-y,-z'
'-x+1/2,-y,z+1/2'
'x+1/2,y,-z+1/2'
'x+1/2,-y+1/2,-z+1/2'
'-x+1/2,y+1/2,z+1/2'
'-x,y+1/2,-z'
'x,-y+1/2,z'
loop_
_atom_site_label
_atom_site_type_symbol
_atom_site_fract_x
_atom_site_fract_y
_atom_site_fract_z
Na1 Na 0.178 0.250 0.066
Fe1 Fe 0.028 0.250 0.620
N1 N 0.042 0.750 0.672
```

Properties
* N(E_F): 10.321 states/eV/cell
* volume: 46 Å³/f.u.

=====

Entry C
DFT (PBE-GGA) results for crystalline NaFeN at its relaxed geometry.

The structure in CIF format:
```
data_NaFeN
_space_group_name_H-M_alt 'P 4/n m m'
_space_group_IT_number 129
_cell_length_a 3.352
_cell_length_b 3.352
_cell_length_c 8.281
_cell_angle_alpha 90.00
_cell_angle_beta 90.00
_cell_angle_gamma 90.00
loop_
_space_group_symop_operation_xyz
'x,y,z'
'-x,-y,-z'
'-y+1/2,x,z'
'y+1/2,-x,-z'
'-x+1/2,-y+1/2,z'
'x+1/2,y+1/2,-z'
'y,-x+1/2,z'
'-y,x+1/2,-z'
'x+1/2,-y,-z'
'-x+1/2,y,z'
'-y,-x,-z'
'y,x,z'
'-x,y+1/2,-z'
'x,-y+1/2,z'
'y+1/2,x+1/2,-z'
'-y+1/2,-x+1/2,z'
loop_
_atom_site_label
_atom_site_type_symbol
_atom_site_fract_x
_atom_site_fract_y
_atom_site_fract_z
Na1 Na 0.250 0.250 0.195
Fe1 Fe 0.250 0.750 0.500
N1 N 0.250 0.250 0.611
```

Properties
* N(E_F): 3.381 states/eV/cell
* volume: 47 Å³/f.u.

=====

The least stable of them is entry B.